Density functional theory data (PBE-GGA) for a relaxed Sm7GeI12 crystal.

## Properties
Crystal system ... trigonal
E_tot ... -4.11 eV per atom
V ... 783 Å³/cell
SG ... R-3 (148)

a = 9.8881 Å, b = 9.8881 Å, c = 9.8881 Å
α = 107.96°, β = 107.96°, γ = 107.96°
Atoms (fractional coordinates):
Sm 0.0000 0.0000 0.0000
Sm 0.1852 0.4658 0.3949
Sm 0.3949 0.1852 0.4658
Sm 0.4658 0.3949 0.1852
Sm 0.5342 0.6051 0.8148
Sm 0.6051 0.8148 0.5342
Sm 0.8148 0.5342 0.6051
Ge 0.5000 0.5000 0.5000
I 0.0300 0.1104 0.3457
I 0.1104 0.3457 0.0300
I 0.1878 0.5785 0.7305
I 0.2695 0.8122 0.4215
I 0.3457 0.0300 0.1104
I 0.4215 0.2695 0.8122
I 0.5785 0.7305 0.1878
I 0.6543 0.9700 0.8896
I 0.7305 0.1878 0.5785
I 0.8122 0.4215 0.2695
I 0.8896 0.6543 0.9700
I 0.9700 0.8896 0.6543

***

Density functional theory data (PBE-GGA) for a relaxed InFeTcPt crystal.

## Properties
Crystal system ... cubic
ΔE to the lowest computed polymorph ... 0 meV per atom
V ... 63 Å³/cell
SG ... F-43m (216)

a = 4.4768 Å, b = 4.4768 Å, c = 4.4768 Å
α = 60.00°, β = 60.00°, γ = 60.00°
Atoms (fractional coordinates):
In 0.0000 0.0000 0.0000
Fe 0.2500 0.2500 0.2500
Tc 0.5000 0.5000 0.5000
Pt 0.7500 0.7500 0.7500

***

Density functional theory data (PBE-GGA) for a relaxed HfThTa crystal.

## Properties
Crystal system ... cubic
ΔE_f ... 0.8804 eV/atom
V ... 80 Å³/cell
SG ... F-43m (216)

a = 4.8446 Å, b = 4.8446 Å, c = 4.8446 Å
α = 60.00°, β = 60.00°, γ = 60.00°
Atoms (fractional coordinates):
Hf 0.0000 0.0000 0.0000
Th 0.2500 0.2500 0.2500
Ta 0.7500 0.7500 0.7500

***

> What is the formula in the third record?

HfThTa

***

> V of number 3 (HfThTa)?

80 Å³/cell

***

> Which formula does entry 1 have?

Sm7GeI12

***

> Look up the V of the second one.

63 Å³/cell